1.
Below is a relaxed Mg2SbTe crystal, with properties calculated at the PBEsol level.

abc: 3.924 4.373 5.951
angles: 90.00 90.00 90.00
Positions (direct):
Mg1 0.124 0.872 0.000
Mg2 0.626 0.378 0.500
Sb1 0.624 0.372 0.000
Te1 0.126 0.878 0.500

Output
Offset from the most stable computed form ... 33 meV per atom
Symmetry ... Pm (6)
Formation energy (no corrections) ... -0.44 eV per atom

***

2.
Below is a relaxed NaBeSb crystal, with properties calculated at the PBEsol level.

abc: 4.139 4.139 9.159
angles: 90.00 90.00 120.00
Positions (direct):
Sb1 0.333 0.667 0.250
Sb2 0.667 0.333 0.750
Na1 0.000 0.000 0.500
Na2 0.000 0.000 0.000
Be1 0.667 0.333 0.250
Be2 0.333 0.667 0.750

Output
Symmetry ... P6_3/mmc (194)
Formation energy (no corrections) ... -0.16 eV per atom

***

3.
Below is a relaxed ScIn3Re crystal, with properties calculated at the PBEsol level.

abc: 5.274 5.274 5.274
angles: 90.00 90.00 90.00
Each line ends with the local moment (μB).
Positions (direct):
Sc1 0.000 0.000 0.000  -0.46
Re1 0.500 0.500 0.500  3.43
In1 0.000 0.500 0.000  -0.08
In2 0.000 0.000 0.500  -0.08
In3 0.500 0.000 0.000  -0.08

Output
ΔH_f (0 K) ... 168.99 kJ per mole of atoms
Symmetry ... Pm-3m (221)

***

4.
Below is a relaxed KYMn2 crystal, with properties calculated at the PBEsol level.

abc: 3.042 5.784 5.786
angles: 104.18 90.00 105.25
Each line ends with the local moment (μB).
Positions (direct):
K1 0.272 0.544 0.801  -0.01
Mn1 0.043 0.086 0.018  3.44
Mn2 0.715 0.430 0.271  3.41
Y1 0.470 0.940 0.411  -0.38

Output
Offset from the most stable computed form ... 125 meV per atom
ΔH_f (0 K) ... 89.52 kJ per mole of atoms
Symmetry ... Cm (8)

***

Calculated density (Mg/m³), listed in the same order as above: 4.85 3.76 6.52 4.16
Calculated calculated volume (Å³/cell), listed in the same order as above: 102.1 135.9 146.7 95.0